A relaxed RuPtIN2 crystal, computed with PBE.

Calculated values
**Formation energy from raw total energies**: 1031 meV per atom
**Energy above the most stable polymorph in this dataset**: 0.000 eV per atom
**Electronic total energy**: -5.672 eV/atom

a = 3.8005 Å, b = 3.8005 Å, c = 6.0636 Å
α = 90.00°, β = 90.00°, γ = 90.00°
Last column: nearest neighbours and their distance in Å.
Space group P4/mmm (No. 123)
Asymmetric unit:
Ru (0.0000, 0.0000, 0.0000) x1  4 N 1.90
Pt (0.5000, 0.5000, 0.5000) x1  4 I 2.69
I (0.0000, 0.0000, 0.5000) x1  4 Pt 2.69
N (0.0000, 0.5000, 0.0000) x2  2 Ru 1.90

***

A relaxed LaDy6Tm12 crystal, computed with PBE.

Calculated values
**Energy above the most stable polymorph in this dataset**: 0.000 eV per atom
**Electronic total energy**: -4.374 eV/atom

a = 11.7910 Å, b = 11.7910 Å, c = 15.0546 Å
α = 90.00°, β = 90.00°, γ = 120.00°
Last column: nearest neighbours and their distance in Å.
Space group R-3 (No. 148, hexagonal axes)
Asymmetric unit:
La (0.0000, 0.0000, 0.0000) x3  6 Dy 3.49, 6 Tm 3.55
Dy (0.0056, 0.4194, 0.6748) x18  6 Tm 3.21-3.59, 1 La 3.49, 2 Dy 3.50
Tm (0.0266, 0.8403, 0.1925) x18  4 Tm 3.36-3.56, 4 Dy 3.48-3.66, 1 La 3.55
Tm (0.0374, 0.8520, 0.4155) x18  3 Dy 3.21-3.42, 6 Tm 3.24-3.47

***

A relaxed Ag3RuCl7 crystal, computed with PBE.

Calculated values
**Formation energy from raw total energies**: -428 meV per atom
**Electronic total energy**: -3.224 eV/atom

a = 8.6774 Å, b = 9.9463 Å, c = 6.6649 Å
α = 90.00°, β = 106.08°, γ = 90.00°
Last column: nearest neighbours and their distance in Å.
Space group Cm (No. 8)
Asymmetric unit:
Ag (0.0000, 0.0000, 0.0000) x2  3 Cl 2.51-2.60
Ag (0.4961, 0.2430, 0.5645) x4  3 Cl 2.50-2.58
Ru (0.4898, 0.0000, 0.0636) x2  6 Cl 2.35-2.39
Cl (0.1252, 0.3316, 0.2917) x4  1 Ru 2.35, 1 Ag 2.50
Cl (0.1927, 0.5000, 0.8897) x2  1 Ru 2.36, 1 Ag 2.56
Cl (0.2815, 0.0000, 0.2338) x2  1 Ru 2.39, 1 Ag 2.51
Cl (0.3564, 0.1688, 0.8342) x4  1 Ru 2.35, 1 Ag 2.54
Cl (0.4826, 0.5000, 0.6048) x2  3 Ag 2.58-2.60

***

A relaxed Sm5CuTe5 crystal, computed with PBE.

Calculated values
**Formation energy from raw total energies**: -1153 meV per atom
**Electronic total energy**: -5.099 eV/atom

a = 13.8892 Å, b = 6.2529 Å, c = 8.7195 Å
α = 90.00°, β = 108.82°, γ = 90.00°
Last column: nearest neighbours and their distance in Å.
Space group C2/m (No. 12)
Asymmetric unit:
Sm (0.0000, 0.0000, 0.0000) x2  4 Te 3.11-3.14, 2 Cu 3.13
Sm (0.1594, 0.5000, 0.3238) x4  1 Cu 2.97, 5 Te 3.08-3.13
Sm (0.1598, 0.5000, 0.8401) x4  1 Cu 2.98, 5 Te 3.08-3.16
Cu (0.0000, 0.5000, 0.0000) x2  6 Sm 2.97-3.13
Te (0.0000, 0.5000, 0.5000) x2  4 Sm 3.08
Te (0.1625, 0.0000, 0.8237) x4  5 Sm 3.11-3.16
Te (0.1735, 0.0000, 0.3359) x4  5 Sm 3.12-3.16

***

Which formula does entry 1 have? RuPtIN2

***

Look up the electronic total energy of the fourth one. -5.099 eV/atom

***

Look up the electronic total energy of the first one. -5.672 eV/atom